w | VASP calculation (PBE-GGA) on an optimized crystal structure of Er6In2N.

Properties
Density of states at the Fermi level, states/eV/f.u.: 7.23
Total magnetic moment, μB per cell: 0.0

```
Er6In2N
1.0
0.000 4.804 4.804
4.804 0.000 4.804
4.804 4.804 0.000
Er In N
6 2 1
direct
0.245 0.245 0.755 Er
0.245 0.755 0.245 Er
0.245 0.755 0.755 Er
0.755 0.245 0.245 Er
0.755 0.245 0.755 Er
0.755 0.755 0.245 Er
0.250 0.250 0.250 In
0.750 0.750 0.750 In
0.000 0.000 0.000 N
```

x | VASP calculation (PBE-GGA) on an optimized crystal structure of Er6In2N.

Properties
Density of states at the Fermi level, states/eV/f.u.: 9.52
Total magnetic moment, μB per cell: 0.0

```
Er6In2N
1.0
3.490 0.000 0.000
0.000 7.424 4.519
0.000 -7.424 4.519
Er In N
6 2 1
direct
0.000 0.000 0.000 Er
0.000 0.525 0.737 Er
0.000 0.737 0.525 Er
0.500 0.161 0.755 Er
0.500 0.337 0.337 Er
0.500 0.755 0.161 Er
0.000 0.078 0.420 In
0.000 0.420 0.078 In
0.500 0.584 0.584 N
```

The data favor w; the next most stable structure lies 177 meV per atom above it.

w | VASP calculation (PBE-GGA) on an optimized crystal structure of NaErIn.

Properties
Density of states at the Fermi level, states/eV/f.u.: 3.38
Total magnetic moment, μB per cell: 0.0

```
NaErIn
1.0
5.276 0.000 0.000
-2.638 4.569 0.000
0.000 0.000 3.326
Na Er In
1 1 1
direct
0.000 0.000 0.000 Na
0.333 0.667 0.502 Er
0.667 0.333 0.003 In
```

x | VASP calculation (PBE-GGA) on an optimized crystal structure of NaErIn.

Properties
Density of states at the Fermi level, states/eV/f.u.: 2.72
Total magnetic moment, μB per cell: 0.0

```
NaErIn
1.0
4.995 0.000 0.000
0.000 4.995 0.000
0.000 0.000 7.539
Na Er In
2 2 2
direct
0.250 0.250 0.218 Na
0.750 0.750 0.782 Na
0.250 0.250 0.749 Er
0.750 0.750 0.251 Er
0.250 0.750 0.500 In
0.750 0.250 0.500 In
```

y | VASP calculation (PBE-GGA) on an optimized crystal structure of NaErIn.

Properties
Density of states at the Fermi level, states/eV/f.u.: 2.68
Total magnetic moment, μB per cell: 0.3

```
NaErIn
1.0
-1.696 1.696 7.516
1.696 -1.696 7.516
1.696 1.696 -7.516
Na Er In
1 1 1
direct
0.000 0.000 0.000 Na
0.302 0.302 0.000 Er
0.660 0.660 0.000 In
```

The data favor w; the next most stable structure lies 31 meV per atom above it.

w | VASP calculation (PBE-GGA) on an optimized crystal structure of NaErTlIn.

Properties
Density of states at the Fermi level, states/eV/f.u.: 2.24
Total magnetic moment, μB per cell: 0.0

```
NaErTlIn
1.0
3.810 0.000 0.000
0.000 5.234 0.000
0.000 0.000 5.262
Na Er Tl In
1 1 1 1
direct
0.000 0.000 0.000 Na
0.000 0.500 0.500 Er
0.500 0.500 0.000 Tl
0.500 0.000 0.500 In
```

x | VASP calculation (PBE-GGA) on an optimized crystal structure of NaErTlIn.

Properties
Density of states at the Fermi level, states/eV/f.u.: 1.67
Total magnetic moment, μB per cell: 0.0

```
NaErTlIn
1.0
0.000 3.743 3.743
3.743 0.000 3.743
3.743 3.743 0.000
Na Er Tl In
1 1 1 1
direct
0.000 0.000 0.000 Na
0.500 0.500 0.500 Er
0.750 0.750 0.750 Tl
0.250 0.250 0.250 In
```

The data favor w; the next most stable structure lies 30 meV per atom above it.

w | VASP calculation (PBE-GGA) on an optimized crystal structure of Nd4ErIn3.

Properties
Density of states at the Fermi level, states/eV/f.u.: 9.53
Total magnetic moment, μB per cell: 0.0

```
Nd4ErIn3
1.0
-2.480 2.482 9.578
2.480 -2.482 9.578
2.480 2.482 -9.578
Nd Er In
4 1 3
direct
0.130 0.130 0.000 Nd
0.368 0.368 0.000 Nd
0.632 0.632 0.000 Nd
0.870 0.870 0.000 Nd
0.000 0.500 0.500 Er
0.251 0.751 0.500 In
0.500 0.000 0.500 In
0.749 0.249 0.500 In
```

x | VASP calculation (PBE-GGA) on an optimized crystal structure of Nd4ErIn3.

Properties
Density of states at the Fermi level, states/eV/f.u.: 11.47
Total magnetic moment, μB per cell: 0.0

```
Nd4ErIn3
1.0
2.750 1.588 9.172
-2.750 1.588 9.172
0.000 -3.176 9.172
Nd Er In
4 1 3
direct
0.118 0.118 0.118 Nd
0.370 0.370 0.370 Nd
0.630 0.630 0.630 Nd
0.882 0.882 0.882 Nd
0.500 0.500 0.500 Er
0.000 0.000 0.000 In
0.241 0.241 0.241 In
0.759 0.759 0.759 In
```

The data favor w; the next most stable structure lies 21 meV per atom above it.